No. 1
Density functional theory data (GGA-PBEsol) for a relaxed YBe3Cu crystal.

Electronic total energy = -4.533 eV/atom
V = 13.782 A^3/atom
E above lowest polymorph = 0.0 meV/atom
Formation enthalpy at 0 K = 0.098 eV/atom

Structure (CIF):
```
data_YBe3Cu
_chemical_formula_sum 'Y1 Be3 Cu1'
_symmetry_space_group_name_H-M 'P m -3 m'
_symmetry_Int_Tables_number 221
_symmetry_space_group_name_Hall '-P 4 2 3'
_cell_length_a 4.100
_cell_length_b 4.100
_cell_length_c 4.100
_cell_angle_alpha 90.00
_cell_angle_beta 90.00
_cell_angle_gamma 90.00
loop_
_atom_site_label
_atom_site_fract_x
_atom_site_fract_y
_atom_site_fract_z
Y1 0.000 0.000 0.000
Be1 0.000 0.500 0.500
Cu1 0.500 0.500 0.500
```

=====

No. 2
Density functional theory data (GGA-PBEsol) for a relaxed BeZnCu2 crystal.

Electronic total energy = -3.596 eV/atom
V = 10.957 A^3/atom
E above lowest polymorph = 15.3 meV/atom
Formation enthalpy at 0 K = -0.034 eV/atom

Structure (CIF):
```
data_BeZnCu2
_chemical_formula_sum 'Be2 Zn2 Cu4'
_symmetry_space_group_name_H-M 'I m m m'
_symmetry_Int_Tables_number 71
_symmetry_space_group_name_Hall '-I 2 2'
_cell_length_a 2.755
_cell_length_b 4.041
_cell_length_c 7.872
_cell_angle_alpha 90.00
_cell_angle_beta 90.00
_cell_angle_gamma 90.00
loop_
_atom_site_label
_atom_site_fract_x
_atom_site_fract_y
_atom_site_fract_z
Be1 0.000 0.000 0.000
Zn1 0.000 0.000 0.500
Cu1 0.000 0.500 0.271
```

=====

No. 3
Density functional theory data (GGA-PBEsol) for a relaxed BeZnCu2 crystal.

Electronic total energy = -3.605 eV/atom
V = 10.960 A^3/atom
E above lowest polymorph = 7.0 meV/atom
Formation enthalpy at 0 K = -0.042 eV/atom

Structure (CIF):
```
data_BeZnCu2
_chemical_formula_sum 'Be2 Zn2 Cu4'
_symmetry_space_group_name_H-M 'I m m 2'
_symmetry_Int_Tables_number 44
_cell_length_a 2.769
_cell_length_b 3.970
_cell_length_c 7.977
_cell_angle_alpha 90.00
_cell_angle_beta 90.00
_cell_angle_gamma 90.00
loop_
_symmetry_equiv_pos_as_xyz
'x,y,z'
'-x,-y,z'
'-x,y,z'
'x,-y,z'
'x+1/2,y+1/2,z+1/2'
'-x+1/2,-y+1/2,z+1/2'
'-x+1/2,y+1/2,z+1/2'
'x+1/2,-y+1/2,z+1/2'
loop_
_atom_site_label
_atom_site_fract_x
_atom_site_fract_y
_atom_site_fract_z
Be1 0.000 0.000 0.000
Zn1 0.000 0.500 0.744
Cu1 0.000 0.000 0.510
Cu2 0.000 0.500 0.275
```

=====

No. 4
Density functional theory data (GGA-PBEsol) for a relaxed BeZnCu2 crystal.

Electronic total energy = -3.612 eV/atom
V = 11.017 A^3/atom
E above lowest polymorph = 0.0 meV/atom
Formation enthalpy at 0 K = -0.049 eV/atom

Structure (CIF):
```
data_BeZnCu2
_chemical_formula_sum 'Be2 Zn2 Cu4'
_symmetry_space_group_name_H-M 'I 4/m m m'
_symmetry_Int_Tables_number 139
_symmetry_space_group_name_Hall '-I 4 2'
_cell_length_a 3.912
_cell_length_b 3.912
_cell_length_c 5.760
_cell_angle_alpha 90.00
_cell_angle_beta 90.00
_cell_angle_gamma 90.00
loop_
_atom_site_label
_atom_site_fract_x
_atom_site_fract_y
_atom_site_fract_z
Be1 0.000 0.000 0.000
Zn1 0.000 0.000 0.500
Cu1 0.000 0.500 0.250
```